A plane-wave DFT calculation with PBE-GGA was carried out for a relaxed structure of CdCl2.

The structure in POSCAR format:
```
CdCl2
1.0
4.019 2.320 6.562
-4.019 2.320 6.562
0.000 -4.640 6.562
Cd Cl
2 4
Direct
0.250 0.250 0.250
0.500 0.500 0.500
0.375 0.375 0.375
0.875 0.375 0.375
0.375 0.875 0.375
0.375 0.375 0.875
```

Results
- Total energy: -2.4549 eV per atom